Entry from Alexandria via LeMat-Bulk: a relaxed structure of LaMgAl3 (PBE).

E = -2.40 eV per atom
D(E_F) = 3.74 states/eV/f.u.

a = 5.673 Å, b = 5.673 Å, c = 5.673 Å
α = 90.00°, β = 90.00°, γ = 90.00°
Positions (direct):
1 La 0.000 0.000 0.000
2 Mg 0.500 0.500 0.500
3 Al 0.000 0.000 0.500
4 Al 0.000 0.500 0.000
5 Al 0.500 0.000 0.000



Entry from Alexandria via LeMat-Bulk: a relaxed structure of Sm2BiTe (PBE).

formation energy without anion corrections = -4.16 eV per formula unit
D(E_F) = 1.77 states/eV/f.u.

a = 9.963 Å, b = 9.963 Å, c = 9.963 Å
α = 107.50°, β = 107.50°, γ = 107.50°
Positions (direct):
1 Sm 0.036 0.340 0.115
2 Sm 0.115 0.036 0.340
3 Sm 0.186 0.725 0.575
4 Sm 0.275 0.425 0.814
5 Sm 0.340 0.115 0.036
6 Sm 0.425 0.814 0.275
7 Sm 0.575 0.186 0.725
8 Sm 0.660 0.885 0.964
9 Sm 0.725 0.575 0.186
10 Sm 0.814 0.275 0.425
11 Sm 0.885 0.964 0.660
12 Sm 0.964 0.660 0.885
13 Bi 0.171 0.386 0.463
14 Bi 0.386 0.463 0.171
15 Bi 0.463 0.171 0.386
16 Bi 0.537 0.829 0.614
17 Bi 0.614 0.537 0.829
18 Bi 0.829 0.614 0.537
19 Te 0.074 0.685 0.227
20 Te 0.227 0.074 0.685
21 Te 0.315 0.773 0.926
22 Te 0.685 0.227 0.074
23 Te 0.773 0.926 0.315
24 Te 0.926 0.315 0.773



Entry from Alexandria via LeMat-Bulk: a relaxed structure of CaCdPbF6 (PBE).

formation energy without anion corrections = -25.26 eV per formula unit
D(E_F) = 0.00 states/eV/f.u.

a = 6.003 Å, b = 6.003 Å, c = 10.188 Å
α = 90.00°, β = 90.00°, γ = 120.00°
Positions (direct):
1 Ca 0.333 0.667 0.250
2 Ca 0.667 0.333 0.750
3 Cd 0.333 0.667 0.750
4 Cd 0.667 0.333 0.250
5 Pb 0.000 0.000 0.000
6 Pb 0.000 0.000 0.500
7 F 0.001 0.347 0.636
8 F 0.001 0.654 0.864
9 F 0.346 0.347 0.864
10 F 0.346 0.999 0.636
11 F 0.347 0.001 0.136
12 F 0.347 0.346 0.364
13 F 0.653 0.654 0.636
14 F 0.653 0.999 0.864
15 F 0.654 0.001 0.364
16 F 0.654 0.653 0.136
17 F 0.999 0.346 0.136
18 F 0.999 0.653 0.364



Entry from Alexandria via LeMat-Bulk: a relaxed structure of CsSiAu2Cl (PBE).

formation energy without anion corrections = -2.70 eV per formula unit
D(E_F) = 0.49 states/eV/f.u.

a = 4.875 Å, b = 4.875 Å, c = 5.839 Å
α = 90.00°, β = 90.00°, γ = 90.00°
Positions (direct):
1 Cs 0.000 0.000 0.000
2 Si 0.500 0.500 0.500
3 Au 0.000 0.500 0.500
4 Au 0.500 0.000 0.500
5 Cl 0.500 0.500 0.000



Entry from Alexandria via LeMat-Bulk: a relaxed structure of BePRu2 (PBE).

E = -6.62 eV per atom
D(E_F) = 3.31 states/eV/f.u.

a = 2.708 Å, b = 2.708 Å, c = 7.999 Å
α = 90.00°, β = 90.00°, γ = 117.65°
Positions (direct):
1 Be 0.000 0.000 0.000
2 P 0.500 0.500 0.755
3 Ru 0.000 0.000 0.520
4 Ru 0.500 0.500 0.226



Entry from Alexandria via LeMat-Bulk: a relaxed structure of Ce3Ho2Pb4 (PBE).

E = -5.00 eV per atom
D(E_F) = 20.96 states/eV/f.u.

a = 8.565 Å, b = 8.565 Å, c = 6.909 Å
α = 104.37°, β = 104.37°, γ = 34.95°
Positions (direct):
1 Ce 0.000 0.000 0.000
2 Ce 0.117 0.117 0.581
3 Ce 0.883 0.883 0.419
4 Ho 0.334 0.334 0.926
5 Ho 0.666 0.666 0.074
6 Pb 0.243 0.243 0.282
7 Pb 0.493 0.493 0.716
8 Pb 0.507 0.507 0.284
9 Pb 0.757 0.757 0.718